1.
PBE NbVFe2, optimized geometry; energy relative to the lowest polymorph listed for this composition = 0.7589 eV per atom; energy of formation from the pure elements = 15.2 kcal/mol of atoms; space-group type = Pmma, No. 51; calculated total energy = -133.91 eV/cell
1.0
5.4730 0.0000 0.0000
0.0000 4.8666 0.0000
0.0000 0.0000 9.1300
Fe Nb V
8 4 4
direct
0.6894 0.2500 0.0765 Fe
0.5000 0.5000 0.5000 Fe
0.6894 0.7500 0.9235 Fe
0.5000 0.0000 0.5000 Fe
0.0000 0.0000 0.0000 Fe
0.3106 0.7500 0.9235 Fe
0.3106 0.2500 0.0765 Fe
0.0000 0.5000 0.0000 Fe
0.5000 0.7500 0.2074 Nb
0.5000 0.2500 0.7926 Nb
0.0000 0.2500 0.5817 Nb
0.0000 0.7500 0.4183 Nb
0.0000 0.2500 0.2627 V
0.5000 0.2500 0.3087 V
0.5000 0.7500 0.6913 V
0.0000 0.7500 0.7373 V

2.
PBE Ba2HgP, optimized geometry; energy relative to the lowest polymorph listed for this composition = 0.1919 eV per atom; energy of formation from the pure elements = -13.2 kcal/mol of atoms; space-group type = Imm2, No. 44; calculated total energy = -11.84 eV/cell
1.0
-3.1455 2.4776 6.1276
-0.6433 -3.5947 6.3439
4.7094 1.9415 -5.2567
Ba Hg P
2 1 1
direct
0.2570 0.7570 0.5000 Ba
0.0014 0.0014 0.0000 Ba
0.5471 0.5471 0.0000 Hg
0.6945 0.1945 0.5000 P

3.
PBE BePd2SO, optimized geometry; E_form (uncorrected) = 0.3188 eV/atom; space-group type = P4/mmm, No. 123; calculated total energy = -21.60 eV/cell
1.0
-4.4260 -0.4289 1.1762
0.9369 -1.2141 3.0828
0.0307 4.2828 1.6773
S Be O Pd
1 1 1 2
direct
0.0000 0.0000 0.0000 S
0.5000 0.5000 0.5000 Be
0.0000 0.5000 0.0000 O
0.5000 0.0000 0.0000 Pd
0.0000 0.0000 0.5000 Pd

4.
PBE Sr2Li3Al12Pd, optimized geometry; energy of formation from the pure elements = -1.1 kcal/mol of atoms; space-group type = R-3m, No. 166; calculated total energy = -60.09 eV/cell
1.0
-8.7551 5.4169 -2.5805
-10.3518 1.0355 2.1027
-7.3424 6.6842 3.7502
Al Sr Li Pd
12 2 3 1
direct
0.6402 0.0780 0.0780 Al
0.9220 0.3598 0.9220 Al
0.5867 0.1855 0.5867 Al
0.0780 0.0780 0.6402 Al
0.9220 0.9220 0.3598 Al
0.3598 0.9220 0.9220 Al
0.0780 0.6402 0.0780 Al
0.1855 0.5867 0.5867 Al
0.5867 0.5867 0.1855 Al
0.4133 0.4133 0.8145 Al
0.4133 0.8145 0.4133 Al
0.8145 0.4133 0.4133 Al
0.3554 0.3554 0.3554 Sr
0.6446 0.6446 0.6446 Sr
0.0000 0.5000 0.0000 Li
0.5000 0.0000 0.0000 Li
0.0000 0.0000 0.5000 Li
0.0000 0.0000 0.0000 Pd

5.
PBE CaDySe2, optimized geometry; E_form (uncorrected) = -1.8727 eV/atom; energy relative to the lowest polymorph listed for this composition = 0.0000 eV per atom; space-group type = R-3m, No. 166; calculated total energy = -21.06 eV/cell
1.0
-2.8001 1.4086 -2.6474
-3.3247 -2.2459 -0.8577
-5.3994 2.7250 3.9815
Ca Se Dy
1 2 1
direct
0.5000 0.5000 0.5000 Ca
0.7485 0.7485 0.7544 Se
0.2515 0.2515 0.2456 Se
0.0000 0.0000 0.0000 Dy

6.
PBE HfGe2Pt, optimized geometry; energy of formation from the pure elements = -5.1 kcal/mol of atoms; space-group type = Fm-3m, No. 225; calculated total energy = -26.12 eV/cell
1.0
0.8470 0.6084 4.4992
-2.9639 2.4013 2.6037
-2.5877 -2.1692 3.1510
Ge Hf Pt
2 1 1
direct
0.7500 0.7500 0.7500 Ge
0.2500 0.2500 0.2500 Ge
0.0000 0.0000 0.0000 Hf
0.5000 0.5000 0.5000 Pt

7.
PBE ScMn2SnIr, optimized geometry; energy of formation from the pure elements = 33.9 kcal/mol of atoms; space-group type = P4/mmm, No. 123; calculated total energy = -30.19 eV/cell
1.0
4.3606 0.0000 0.0000
0.0000 5.1996 0.0000
0.0000 0.0000 4.3606
Mn Sc Ir Sn
2 1 1 1
direct
0.5000 0.0000 0.0000 Mn
0.0000 0.0000 0.5000 Mn
0.0000 0.0000 0.0000 Sc
0.5000 0.5000 0.5000 Ir
0.0000 0.5000 0.0000 Sn

8.
PBE ZnOs2Rh, optimized geometry; energy of formation from the pure elements = 4.7 kcal/mol of atoms; space-group type = I-4m2, No. 119; calculated total energy = -30.26 eV/cell
1.0
-1.8717 2.9665 3.0905
-4.1701 1.3756 -1.6038
1.8335 -4.2653 0.5477
Os Rh Zn
2 1 1
direct
0.0000 0.0000 0.0000 Os
0.2500 0.7500 0.5000 Os
0.5000 0.5000 0.0000 Rh
0.7500 0.2500 0.5000 Zn

9.
PBE CsScSe2, optimized geometry; E_form (uncorrected) = -0.7016 eV/atom; space-group type = P4/mmm, No. 123; calculated total energy = -16.96 eV/cell
1.0
4.5030 0.0000 0.0000
0.0000 4.5030 0.0000
0.0000 0.0000 6.1994
Se Cs Sc
2 1 1
direct
0.0000 0.0000 0.0000 Se
0.5000 0.5000 0.5000 Se
0.5000 0.5000 0.0000 Cs
0.0000 0.0000 0.5000 Sc

10.
PBE TbPmTmPa, optimized geometry; energy of formation from the pure elements = 8.7 kcal/mol of atoms; space-group type = F-43m, No. 216; calculated total energy = -21.84 eV/cell
1.0
-1.1426 -5.3502 1.1327
2.7379 -2.6346 4.0958
-2.6626 -1.3485 4.7228
Pa Pm Tb Tm
1 1 1 1
direct
0.7500 0.7500 0.7500 Pa
0.0000 0.0000 0.0000 Pm
0.5000 0.5000 0.5000 Tb
0.2500 0.2500 0.2500 Tm

11.
PBE BaIn6Hg12, optimized geometry; energy relative to the lowest polymorph listed for this composition = 0.0330 eV per atom; energy of formation from the pure elements = -1.4 kcal/mol of atoms; space-group type = R-3m, No. 166; calculated total energy = -23.14 eV/cell
1.0
-3.7860 -4.4912 -6.2742
-2.4228 -3.7828 7.3274
-3.8563 7.6811 -0.0135
In Hg Ba
6 12 1
direct
0.2814 0.7075 0.7075 In
0.2925 0.2925 0.7186 In
0.7075 0.7075 0.2814 In
0.2925 0.7186 0.2925 In
0.7075 0.2814 0.7075 In
0.7186 0.2925 0.2925 In
0.1379 0.3798 0.3798 Hg
0.6202 0.6202 0.8621 Hg
0.5000 0.8906 0.1094 Hg
0.5000 0.1094 0.8906 Hg
0.1094 0.5000 0.8906 Hg
0.6202 0.8621 0.6202 Hg
0.1094 0.8906 0.5000 Hg
0.8906 0.5000 0.1094 Hg
0.8621 0.6202 0.6202 Hg
0.3798 0.3798 0.1379 Hg
0.8906 0.1094 0.5000 Hg
0.3798 0.1379 0.3798 Hg
0.0000 0.0000 0.0000 Ba

12.
PBE Nd6GeP2I3, optimized geometry; E_form (uncorrected) = -1.2588 eV/atom; space-group type = C2/m, No. 12; calculated total energy = -63.80 eV/cell
1.0
7.3865 -0.0007 0.0004
-3.6920 6.3976 0.0004
-1.2319 -2.1331 7.7294
Nd I Ge P
6 3 1 2
direct
0.5966 0.9361 0.8089 Nd
0.0639 0.4034 0.1911 Nd
0.9361 0.5966 0.8089 Nd
0.2763 0.2763 0.8094 Nd
0.7237 0.7237 0.1906 Nd
0.4034 0.0639 0.1911 Nd
0.5000 0.5000 0.5000 I
0.1648 0.8352 0.5000 I
0.8352 0.1648 0.5000 I
0.0000 0.0000 0.0000 Ge
0.6668 0.3332 0.0000 P
0.3332 0.6668 0.0000 P

13.
PBE Ca5MgBr12, optimized geometry; E_form (uncorrected) = -1.9431 eV/atom; space-group type = C2/m, No. 12; calculated total energy = -66.65 eV/cell
1.0
7.3105 0.0000 0.0052
3.6553 6.3391 0.0026
0.0047 0.0000 13.9926
Br Ca Mg
12 5 1
direct
0.3123 0.6878 0.8920 Br
0.1671 0.3335 0.3861 Br
0.5006 0.6665 0.3861 Br
0.3122 0.0000 0.1080 Br
0.4994 0.3335 0.6139 Br
0.6878 0.3122 0.1080 Br
0.0001 0.3122 0.8920 Br
0.1664 0.0000 0.6137 Br
0.0000 0.6878 0.1080 Br
0.8329 0.6665 0.6139 Br
0.6878 0.0000 0.8920 Br
0.8336 0.0000 0.3863 Br
0.3333 0.3334 0.0000 Ca
0.5000 0.0000 0.5000 Ca
0.1666 0.6667 0.5000 Ca
0.8334 0.3333 0.5000 Ca
0.6667 0.6666 0.0000 Ca
0.0000 0.0000 0.0000 Mg